First-principles (PBE-GGA) data for crystalline CaThPbAu at its relaxed geometry, as listed in Alexandria via LeMat-Bulk.

Cell: 7.627 7.627 7.627 Å, 90.00 90.00 90.00°
Space group F-43m (No. 216)
Unique sites:
Ca (0.000, 0.000, 0.000)
Th (0.000, 0.000, 0.500)
Pb (0.250, 0.250, 0.250)
Au (0.250, 0.250, 0.750)

magnetic moment	0.00	μB/f.u.
raw total energy	-4.57	eV per atom
crystal system	cubic